[1]
# Ti7Sb2H2Pb

A geometry-optimized Ti7Sb2H2Pb structure (GGA-PBE, Alexandria via LeMat-Bulk).

Cell lengths 4.022, 4.022, 12.075 Å; angles 99.53, 99.53, 89.99 degrees
Sites, in units of the cell vectors:
Ti: 0.000 0.000 0.000
Ti: 0.096 0.596 0.192
Ti: 0.197 0.197 0.397
Ti: 0.404 0.904 0.808
Ti: 0.596 0.096 0.192
Ti: 0.803 0.803 0.603
Ti: 0.904 0.404 0.808
Sb: 0.318 0.318 0.635
Sb: 0.682 0.682 0.365
H: 0.084 0.084 0.169
H: 0.916 0.916 0.831
Pb: 0.500 0.500 0.000

Spin magnetization = 0.0 Bohr magnetons per cell
Electronic total energy = -6.5565 eV per atom

=====

[2]
# SrTaPb

A geometry-optimized SrTaPb structure (GGA-PBE, Alexandria via LeMat-Bulk).

Cell lengths 4.278, 4.856, 15.320 Å; angles 90.00, 90.00, 90.00 degrees
Sites, in units of the cell vectors:
Sr: 0.000 0.000 0.000
Sr: 0.000 0.500 0.500
Sr: 0.500 0.000 0.500
Sr: 0.500 0.500 0.000
Ta: 0.000 0.000 0.673
Ta: 0.000 0.500 0.173
Ta: 0.500 0.000 0.173
Ta: 0.500 0.500 0.673
Pb: 0.000 0.000 0.316
Pb: 0.000 0.500 0.816
Pb: 0.500 0.000 0.816
Pb: 0.500 0.500 0.316

Spin magnetization = 1.1 Bohr magnetons per cell
Electronic total energy = -5.2323 eV per atom
ΔE_f = 0.52 eV/atom
Distance to the lowest polymorph of the same formula = 0.000 kcal/mol of atoms

=====

[3]
# Cd5Ag6Pb

A geometry-optimized Cd5Ag6Pb structure (GGA-PBE, Alexandria via LeMat-Bulk).

Cell lengths 4.465, 8.096, 7.050 Å; angles 90.00, 107.53, 90.00 degrees
Sites, in units of the cell vectors:
Cd: 0.000 0.000 0.000
Cd: 0.327 0.500 0.657
Cd: 0.334 0.000 0.669
Cd: 0.666 0.000 0.331
Cd: 0.673 0.500 0.343
Ag: 0.174 0.242 0.341
Ag: 0.174 0.758 0.341
Ag: 0.500 0.239 0.000
Ag: 0.500 0.761 0.000
Ag: 0.826 0.242 0.659
Ag: 0.826 0.758 0.659
Pb: 0.000 0.500 0.000

Spin magnetization = 0.0 Bohr magnetons per cell
Electronic total energy = -2.1173 eV per atom
ΔE_f = 0.00 eV/atom

=====

- What is the electronic total energy in the second record?
  -5.2323 eV per atom